# Ca2Sn2Hg3

An optimized crystal structure of Ca2Sn2Hg3 (PBE-GGA, the Alexandria database).

Values from the calculation:
Relative energy among the computed polymorphs (eV/atom): 0.000

abc: 6.363 6.363 7.400
angles: 107.23 107.23 43.02
Sites, in units of the cell vectors:
Ca: 0.127 0.127 0.264
Ca: 0.873 0.873 0.736
Sn: 0.400 0.400 0.080
Sn: 0.600 0.600 0.920
Hg: 0.180 0.180 0.714
Hg: 0.500 0.500 0.500
Hg: 0.820 0.820 0.286

=====

# CaSn2Hg5

An optimized crystal structure of CaSn2Hg5 (PBE-GGA, the Alexandria database).

abc: 9.850 9.850 9.850
angles: 152.18 152.18 39.75
Sites, in units of the cell vectors:
Ca: 0.000 0.000 0.000
Sn: 0.242 0.242 0.000
Sn: 0.758 0.758 0.000
Hg: 0.122 0.622 0.500
Hg: 0.378 0.878 0.500
Hg: 0.500 0.500 0.000
Hg: 0.622 0.122 0.500
Hg: 0.878 0.378 0.500

=====

# CaSnHg4

An optimized crystal structure of CaSnHg4 (PBE-GGA, the Alexandria database).

Values from the calculation:
Relative energy among the computed polymorphs (eV/atom): 0.093

abc: 6.074 6.074 6.074
angles: 60.00 60.00 60.00
Sites, in units of the cell vectors:
Ca: 0.000 0.000 0.000
Sn: 0.750 0.750 0.750
Hg: 0.375 0.375 0.375
Hg: 0.375 0.375 0.875
Hg: 0.375 0.875 0.375
Hg: 0.875 0.375 0.375

=====

# Ca2SnHg2

An optimized crystal structure of Ca2SnHg2 (PBE-GGA, the Alexandria database).

Values from the calculation:
Relative energy among the computed polymorphs (eV/atom): 0.015

abc: 8.189 8.189 4.121
angles: 90.00 90.00 90.00
Sites, in units of the cell vectors:
Ca: 0.172 0.328 0.000
Ca: 0.328 0.828 0.000
Ca: 0.672 0.172 0.000
Ca: 0.828 0.672 0.000
Sn: 0.000 0.000 0.500
Sn: 0.500 0.500 0.500
Hg: 0.128 0.628 0.500
Hg: 0.372 0.128 0.500
Hg: 0.628 0.872 0.500
Hg: 0.872 0.372 0.500

=====

# Ca4SnHg

An optimized crystal structure of Ca4SnHg (PBE-GGA, the Alexandria database).

abc: 5.254 5.254 9.216
angles: 106.52 106.52 60.19
Sites, in units of the cell vectors:
Ca: 0.124 0.124 0.372
Ca: 0.291 0.291 0.873
Ca: 0.709 0.709 0.127
Ca: 0.876 0.876 0.628
Sn: 0.000 0.000 0.000
Hg: 0.500 0.500 0.500

=====

# Ca2SnHg6

An optimized crystal structure of Ca2SnHg6 (PBE-GGA, the Alexandria database).

Values from the calculation:
Relative energy among the computed polymorphs (eV/atom): 0.020

abc: 8.729 8.729 3.552
angles: 90.13 90.13 59.98
Sites, in units of the cell vectors:
Ca: 0.167 0.167 0.000
Ca: 0.833 0.833 0.000
Sn: 0.500 0.500 0.000
Hg: 0.168 0.500 0.499
Hg: 0.168 0.832 0.500
Hg: 0.500 0.168 0.499
Hg: 0.500 0.832 0.501
Hg: 0.832 0.168 0.500
Hg: 0.832 0.500 0.501

=====

# Ca6Sn3Hg

An optimized crystal structure of Ca6Sn3Hg (PBE-GGA, the Alexandria database).

abc: 9.275 12.689 5.348
angles: 90.00 90.00 90.00
Sites, in units of the cell vectors:
Ca: 0.001 0.249 0.000
Ca: 0.162 0.416 0.500
Ca: 0.172 0.090 0.500
Ca: 0.328 0.590 0.000
Ca: 0.338 0.916 0.000
Ca: 0.499 0.749 0.500
Ca: 0.501 0.251 0.500
Ca: 0.662 0.084 0.000
Ca: 0.672 0.410 0.000
Ca: 0.828 0.910 0.500
Ca: 0.838 0.584 0.500
Ca: 0.999 0.751 0.000
Sn: 0.000 0.500 0.000
Sn: 0.168 0.806 0.500
Sn: 0.332 0.306 0.000
Sn: 0.500 0.000 0.500
Sn: 0.668 0.694 0.000
Sn: 0.832 0.194 0.500
Hg: 0.000 0.000 0.000
Hg: 0.500 0.500 0.500

=====

# CaSnHg

An optimized crystal structure of CaSnHg (PBE-GGA, the Alexandria database).

abc: 10.263 4.817 7.018
angles: 90.00 90.00 90.00
Sites, in units of the cell vectors:
Ca: 0.099 0.250 0.205
Ca: 0.401 0.750 0.705
Ca: 0.599 0.250 0.295
Ca: 0.901 0.750 0.795
Sn: 0.127 0.250 0.729
Sn: 0.373 0.750 0.229
Sn: 0.627 0.250 0.771
Sn: 0.873 0.750 0.271
Hg: 0.141 0.750 0.489
Hg: 0.359 0.250 0.989
Hg: 0.641 0.750 0.011
Hg: 0.859 0.250 0.511

=====

The evaluated energy of formation from the pure elements for the records listed, in turn: -0.37, -0.18, -0.14, -0.49, -0.41, -0.28, -0.53, -0.43 eV/atom.
The evaluated total magnetization for the records listed, in turn: 0.00, 0.00, 0.00, 0.00, 0.00, 0.00, 0.00, 0.00 Bohr magnetons per cell.
The evaluated mass density for the records listed, in turn: 7878, 10235, 10074, 7211, 3819, 9936, 4206, 6881 kg/m3.